1.
Density functional theory data (PBE) for an optimized crystal structure of Mg3Ag.

Computed properties:
Formation energy = -0.058 eV/atom
Size of the total moment = 0.00 μB/atom
ρ = 3.674 g cm⁻³

Structure (CIF):
```
data_Mg3Ag
_cell_length_a 9.7035
_cell_length_b 9.7035
_cell_length_c 3.0061
_cell_angle_alpha 90.00
_cell_angle_beta 90.00
_cell_angle_gamma 120.00
_symmetry_space_group_name_H-M 'R -3 m'
_symmetry_Int_Tables_number 166
_symmetry_space_group_name_Hall '-R 3 2"'
loop_
_atom_site_label
_atom_site_type_symbol
_atom_site_fract_x
_atom_site_fract_y
_atom_site_fract_z
Mg1 Mg 0.0000 0.5000 0.0000
Ag1 Ag 0.0000 0.0000 0.0000
```

2.
Density functional theory data (PBE) for an optimized crystal structure of Mg4Ag.

Computed properties:
Formation energy = -0.088 eV/atom
Polymorph energy (0 for the lowest one) = 0 meV per atom
Size of the total moment = 0.00 μB/atom
ρ = 3.250 g cm⁻³

Structure (CIF):
```
data_Mg4Ag
_cell_length_a 7.787
_cell_length_b 7.787
_cell_length_c 3.456
_cell_angle_alpha 90.00
_cell_angle_beta 90.00
_cell_angle_gamma 90.00
_symmetry_space_group_name_H-M 'I 4/m'
_symmetry_Int_Tables_number 87
_symmetry_space_group_name_Hall '-I 4'
loop_
_atom_site_label
_atom_site_type_symbol
_atom_site_fract_x
_atom_site_fract_y
_atom_site_fract_z
Mg1 Mg 0.086 0.717 0.000
Ag1 Ag 0.000 0.000 0.500
```

3.
Density functional theory data (PBE) for an optimized crystal structure of Mg3Ag.

Computed properties:
Formation energy = -0.128 eV/atom
Size of the total moment = 0.00 μB/atom
ρ = 3.527 g cm⁻³

Structure (CIF):
```
data_Mg3Ag
_cell_length_a 4.7559
_cell_length_b 4.7559
_cell_length_c 8.6892
_cell_angle_alpha 90.00
_cell_angle_beta 90.00
_cell_angle_gamma 120.00
_symmetry_space_group_name_H-M 'P 63/m m c'
_symmetry_Int_Tables_number 194
_symmetry_space_group_name_Hall '-P 6c 2c'
loop_
_atom_site_label
_atom_site_type_symbol
_atom_site_fract_x
_atom_site_fract_y
_atom_site_fract_z
Mg1 Mg 0.0000 0.0000 0.2500
Mg2 Mg 0.3333 0.6667 0.0772
Ag1 Ag 0.3333 0.6667 0.7500
```

4.
Density functional theory data (PBE) for an optimized crystal structure of Mg3Ag.

Computed properties:
Formation energy = -0.125 eV/atom
Size of the total moment = 0.00 μB/atom
ρ = 3.615 g cm⁻³

Structure (CIF):
```
data_Mg3Ag
_cell_length_a 3.226
_cell_length_b 11.196
_cell_length_c 9.195
_cell_angle_alpha 90.00
_cell_angle_beta 90.00
_cell_angle_gamma 90.00
_symmetry_space_group_name_H-M 'C m c m'
_symmetry_Int_Tables_number 63
_symmetry_space_group_name_Hall '-C 2c 2'
loop_
_atom_site_label
_atom_site_type_symbol
_atom_site_fract_x
_atom_site_fract_y
_atom_site_fract_z
Mg1 Mg 0.000 0.037 0.250
Mg2 Mg 0.000 0.366 0.034
Ag1 Ag 0.000 0.247 0.750
```

5.
Density functional theory data (PBE) for an optimized crystal structure of Mg5Ag3.

Computed properties:
Formation energy = -0.178 eV/atom
Polymorph energy (0 for the lowest one) = 0 meV per atom
Size of the total moment = 0.00 μB/atom
ρ = 4.657 g cm⁻³

Structure (CIF):
```
data_Mg5Ag3
_cell_length_a 5.432
_cell_length_b 15.271
_cell_length_c 8.114
_cell_angle_alpha 90.00
_cell_angle_beta 109.39
_cell_angle_gamma 90.00
_symmetry_space_group_name_H-M 'C 1 2/m 1'
_symmetry_Int_Tables_number 12
loop_
_symmetry_equiv_pos_as_xyz
'x,y,z'
'-x,-y,-z'
'-x,y,-z'
'x,-y,z'
'x+1/2,y+1/2,z'
'-x+1/2,-y+1/2,-z'
'-x+1/2,y+1/2,-z'
'x+1/2,-y+1/2,z'
loop_
_atom_site_label
_atom_site_type_symbol
_atom_site_fract_x
_atom_site_fract_y
_atom_site_fract_z
Mg1 Mg 0.100 0.178 0.200
Mg2 Mg 0.177 0.400 0.355
Mg3 Mg 0.249 0.000 0.999
Ag1 Ag 0.000 0.250 0.500
Ag2 Ag 0.000 0.334 0.000
Ag3 Ag 0.167 0.000 0.332
```

6.
Density functional theory data (PBE) for an optimized crystal structure of Mg2MnAg.

Computed properties:
Formation energy = 0.127 eV/atom
Size of the total moment = 0.89 μB/atom
ρ = 4.790 g cm⁻³

Structure (CIF):
```
data_Mg2MnAg
_cell_length_a 3.0034
_cell_length_b 3.0034
_cell_length_c 28.1485
_cell_angle_alpha 90.00
_cell_angle_beta 90.00
_cell_angle_gamma 120.00
_symmetry_space_group_name_H-M 'R -3 m'
_symmetry_Int_Tables_number 166
_symmetry_space_group_name_Hall '-R 3 2"'
loop_
_atom_site_label
_atom_site_type_symbol
_atom_site_fract_x
_atom_site_fract_y
_atom_site_fract_z
Mg1 Mg 0.0000 0.0000 0.2489
Mn1 Mn 0.0000 0.0000 0.5000
Ag1 Ag 0.0000 0.0000 0.0000
```

7.
Density functional theory data (PBE) for an optimized crystal structure of MgMn3Ag.

Computed properties:
Formation energy = 1.083 eV/atom
Polymorph energy (0 for the lowest one) = 0 meV per atom
Size of the total moment = 2.54 μB/atom
ρ = 4.120 g cm⁻³

Structure (CIF):
```
data_MgMn3Ag
_cell_length_a 4.928
_cell_length_b 4.928
_cell_length_c 4.928
_cell_angle_alpha 90.00
_cell_angle_beta 90.00
_cell_angle_gamma 90.00
_symmetry_space_group_name_H-M 'P m -3 m'
_symmetry_Int_Tables_number 221
_symmetry_space_group_name_Hall '-P 4 2 3'
loop_
_atom_site_label
_atom_site_type_symbol
_atom_site_fract_x
_atom_site_fract_y
_atom_site_fract_z
Mg1 Mg 0.000 0.000 0.000
Mn1 Mn 0.000 0.500 0.500
Ag1 Ag 0.500 0.500 0.500
```

8.
Density functional theory data (PBE) for an optimized crystal structure of Mg2MnAg.

Computed properties:
Formation energy = 0.091 eV/atom
Size of the total moment = 0.99 μB/atom
ρ = 4.810 g cm⁻³

Structure (CIF):
```
data_Mg2MnAg
_cell_length_a 4.103
_cell_length_b 4.103
_cell_length_c 8.672
_cell_angle_alpha 90.00
_cell_angle_beta 90.00
_cell_angle_gamma 90.00
_symmetry_space_group_name_H-M 'I -4 m 2'
_symmetry_Int_Tables_number 119
_symmetry_space_group_name_Hall 'I -4 -2'
loop_
_atom_site_label
_atom_site_type_symbol
_atom_site_fract_x
_atom_site_fract_y
_atom_site_fract_z
Mg1 Mg 0.000 0.000 0.000
Mg2 Mg 0.000 0.500 0.250
Mn1 Mn 0.000 0.500 0.750
Ag1 Ag 0.000 0.000 0.500
```

9.
Density functional theory data (PBE) for an optimized crystal structure of Mg2MnAg.

Computed properties:
Formation energy = 0.093 eV/atom
Size of the total moment = 0.93 μB/atom
ρ = 4.878 g cm⁻³

Structure (CIF):
```
data_Mg2MnAg
_cell_length_a 6.603
_cell_length_b 6.603
_cell_length_c 6.603
_cell_angle_alpha 90.00
_cell_angle_beta 90.00
_cell_angle_gamma 90.00
_symmetry_space_group_name_H-M 'F -4 3 m'
_symmetry_Int_Tables_number 216
_symmetry_space_group_name_Hall 'F -4 2 3'
loop_
_atom_site_label
_atom_site_type_symbol
_atom_site_fract_x
_atom_site_fract_y
_atom_site_fract_z
Mg1 Mg 0.000 0.000 0.000
Mg2 Mg 0.250 0.250 0.250
Mn1 Mn 0.250 0.250 0.750
Ag1 Ag 0.000 0.000 0.500
```

10.
Density functional theory data (PBE) for an optimized crystal structure of Mg2MnAg.

Computed properties:
Formation energy = 0.057 eV/atom
Size of the total moment = 0.88 μB/atom
ρ = 4.907 g cm⁻³

Structure (CIF):
```
data_Mg2MnAg
_cell_length_a 3.302
_cell_length_b 3.302
_cell_length_c 6.560
_cell_angle_alpha 90.00
_cell_angle_beta 90.00
_cell_angle_gamma 90.00
_symmetry_space_group_name_H-M 'P 4/m m m'
_symmetry_Int_Tables_number 123
_symmetry_space_group_name_Hall '-P 4 2'
loop_
_atom_site_label
_atom_site_type_symbol
_atom_site_fract_x
_atom_site_fract_y
_atom_site_fract_z
Mg1 Mg 0.000 0.000 0.246
Mn1 Mn 0.500 0.500 0.000
Ag1 Ag 0.500 0.500 0.500
```

11.
Density functional theory data (PBE) for an optimized crystal structure of Mg2MnAg.

Computed properties:
Formation energy = 0.372 eV/atom
Size of the total moment = 0.92 μB/atom
ρ = 4.412 g cm⁻³

Structure (CIF):
```
data_Mg2MnAg
_cell_length_a 7.464
_cell_length_b 7.464
_cell_length_c 5.713
_cell_angle_alpha 90.00
_cell_angle_beta 90.00
_cell_angle_gamma 90.00
_symmetry_space_group_name_H-M 'I -4 2 d'
_symmetry_Int_Tables_number 122
_symmetry_space_group_name_Hall 'I -4 2bw'
loop_
_atom_site_label
_atom_site_type_symbol
_atom_site_fract_x
_atom_site_fract_y
_atom_site_fract_z
Mg1 Mg 0.240 0.250 0.125
Mn1 Mn 0.000 0.000 0.500
Ag1 Ag 0.000 0.000 0.000
```

12.
Density functional theory data (PBE) for an optimized crystal structure of MgMn4Ag.

Computed properties:
Formation energy = 0.373 eV/atom
Size of the total moment = 1.17 μB/atom
ρ = 7.062 g cm⁻³

Structure (CIF):
```
data_MgMn4Ag
_cell_length_a 6.917
_cell_length_b 6.917
_cell_length_c 6.917
_cell_angle_alpha 90.00
_cell_angle_beta 90.00
_cell_angle_gamma 90.00
_symmetry_space_group_name_H-M 'F -4 3 m'
_symmetry_Int_Tables_number 216
_symmetry_space_group_name_Hall 'F -4 2 3'
loop_
_atom_site_label
_atom_site_type_symbol
_atom_site_fract_x
_atom_site_fract_y
_atom_site_fract_z
Mg1 Mg 0.000 0.000 0.000
Mn1 Mn 0.126 0.126 0.626
Ag1 Ag 0.250 0.250 0.250
```

Number 12 is which compound? MgMn4Ag

What did the eighth record say?
Density functional theory data (PBE) for an optimized crystal structure of Mg2MnAg.

Computed properties:
Formation energy = 0.091 eV/atom
Size of the total moment = 0.99 μB/atom
ρ = 4.810 g cm⁻³

Structure (CIF):
```
data_Mg2MnAg
_cell_length_a 4.103
_cell_length_b 4.103
_cell_length_c 8.672
_cell_angle_alpha 90.00
_cell_angle_beta 90.00
_cell_angle_gamma 90.00
_symmetry_space_group_name_H-M 'I -4 m 2'
_symmetry_Int_Tables_number 119
_symmetry_space_group_name_Hall 'I -4 -2'
loop_
_atom_site_label
_atom_site_type_symbol
_atom_site_fract_x
_atom_site_fract_y
_atom_site_fract_z
Mg1 Mg 0.000 0.000 0.000
Mg2 Mg 0.000 0.500 0.250
Mn1 Mn 0.000 0.500 0.750
Ag1 Ag 0.000 0.000 0.500
```

Look up the ρ of the seventh one. 4.120 g cm⁻³

Please write out number 8 again, unchanged.
Density functional theory data (PBE) for an optimized crystal structure of Mg2MnAg.

Computed properties:
Formation energy = 0.091 eV/atom
Size of the total moment = 0.99 μB/atom
ρ = 4.810 g cm⁻³

Structure (CIF):
```
data_Mg2MnAg
_cell_length_a 4.103
_cell_length_b 4.103
_cell_length_c 8.672
_cell_angle_alpha 90.00
_cell_angle_beta 90.00
_cell_angle_gamma 90.00
_symmetry_space_group_name_H-M 'I -4 m 2'
_symmetry_Int_Tables_number 119
_symmetry_space_group_name_Hall 'I -4 -2'
loop_
_atom_site_label
_atom_site_type_symbol
_atom_site_fract_x
_atom_site_fract_y
_atom_site_fract_z
Mg1 Mg 0.000 0.000 0.000
Mg2 Mg 0.000 0.500 0.250
Mn1 Mn 0.000 0.500 0.750
Ag1 Ag 0.000 0.000 0.500
```